{
  "formula": "Zr2TlTeAu",
  "functional": "PBE-GGA",
  "state": "optimized geometry",
  "lattice": [[5.3344, 0.0000, 0.0000], [0.0000, 5.3344, 0.0000], [0.0000, 0.0000, 5.1281]],
  "species": ["Tl", "Te", "Au", "Zr", "Zr"],
  "frac_coords": [[0.0000, 0.0000, 0.5000], [0.5000, 0.5000, 0.5000], [0.0000, 0.0000, 0.0000], [0.0000, 0.5000, 0.0000], [0.5000, 0.0000, 0.0000]],
  "space_group": "P4/mmm (123)",
  "formation_energy_uncorrected_mev_per_atom": 475,
  "vol_a3_per_atom": 29.2,
  "dos_ef_per_ev_cell": 6.75,
  "mass_density_g_cm3": 8.10
}